Run w
AcPr2Ag | PBE | optimized geometry

Output
N(E_F): 1.254 states/eV per atom

```
data_AcPr2Ag
_chemical_formula_sum 'Ac4 Pr8 Ag4'
_symmetry_space_group_name_H-M 'C m c m'
_symmetry_Int_Tables_number 63
_symmetry_space_group_name_Hall '-C 2c 2'
_cell_length_a 5.256
_cell_length_b 12.429
_cell_length_c 8.338
_cell_angle_alpha 90.00
_cell_angle_beta 90.00
_cell_angle_gamma 90.00
loop_
_atom_site_label
_atom_site_fract_x
_atom_site_fract_y
_atom_site_fract_z
Ac1 0.000 0.055 0.250
Pr1 0.000 0.357 0.034
Ag1 0.000 0.206 0.750
```

---

Run x
AcPr2Ag | PBE | optimized geometry

Output
N(E_F): 1.467 states/eV per atom

```
data_AcPr2Ag
_chemical_formula_sum 'Ac1 Pr2 Ag1'
_symmetry_space_group_name_H-M 'P 4/m m m'
_symmetry_Int_Tables_number 123
_symmetry_space_group_name_Hall '-P 4 2'
_cell_length_a 3.841
_cell_length_b 3.841
_cell_length_c 9.005
_cell_angle_alpha 90.00
_cell_angle_beta 90.00
_cell_angle_gamma 90.00
loop_
_atom_site_label
_atom_site_fract_x
_atom_site_fract_y
_atom_site_fract_z
Ac1 0.000 0.000 0.000
Pr1 0.500 0.500 0.295
Ag1 0.000 0.000 0.500
```

---

Most stable structure, least stable structure: run x, run w.

---

Run w
AcPr2Ag | PBE | optimized geometry

Output
N(E_F): 1.329 states/eV per atom

```
data_AcPr2Ag
_chemical_formula_sum 'Ac3 Pr6 Ag3'
_symmetry_space_group_name_H-M 'R -3 m'
_symmetry_Int_Tables_number 166
_symmetry_space_group_name_Hall '-R 3 2"'
_cell_length_a 3.8309
_cell_length_b 3.8309
_cell_length_c 32.6619
_cell_angle_alpha 90.00
_cell_angle_beta 90.00
_cell_angle_gamma 120.00
loop_
_atom_site_label
_atom_site_fract_x
_atom_site_fract_y
_atom_site_fract_z
Ac1 0.0000 0.0000 0.0000
Pr1 0.0000 0.0000 0.2377
Ag1 0.0000 0.0000 0.5000
```

---

Run x
AcPr2Ag | PBE | optimized geometry

Output
N(E_F): 1.326 states/eV per atom

```
data_AcPr2Ag
_chemical_formula_sum 'Ac1 Pr2 Ag1'
_symmetry_space_group_name_H-M 'P 4/m m m'
_symmetry_Int_Tables_number 123
_symmetry_space_group_name_Hall '-P 4 2'
_cell_length_a 5.851
_cell_length_b 5.851
_cell_length_c 3.829
_cell_angle_alpha 90.00
_cell_angle_beta 90.00
_cell_angle_gamma 90.00
loop_
_atom_site_label
_atom_site_fract_x
_atom_site_fract_y
_atom_site_fract_z
Ac1 0.000 0.000 0.000
Pr1 0.000 0.500 0.500
Ag1 0.500 0.500 0.000
```

---

Run y
AcPr2Ag | PBE | optimized geometry

Output
N(E_F): 1.622 states/eV per atom

```
data_AcPr2Ag
_chemical_formula_sum 'Ac4 Pr8 Ag4'
_symmetry_space_group_name_H-M 'F m -3 m'
_symmetry_Int_Tables_number 225
_symmetry_space_group_name_Hall '-F 4 2 3'
_cell_length_a 8.076
_cell_length_b 8.076
_cell_length_c 8.076
_cell_angle_alpha 90.00
_cell_angle_beta 90.00
_cell_angle_gamma 90.00
loop_
_atom_site_label
_atom_site_fract_x
_atom_site_fract_y
_atom_site_fract_z
Ac1 0.000 0.000 0.000
Pr1 0.250 0.250 0.250
Ag1 0.000 0.000 0.500
```

---

Run z
AcPr2Ag | PBE | optimized geometry

Output
N(E_F): 1.375 states/eV per atom

```
data_AcPr2Ag
_chemical_formula_sum 'Ac3 Pr6 Ag3'
_symmetry_space_group_name_H-M 'R 3 m'
_symmetry_Int_Tables_number 160
_symmetry_space_group_name_Hall 'R 3 -2"'
_cell_length_a 3.8568
_cell_length_b 3.8568
_cell_length_c 32.6864
_cell_angle_alpha 90.00
_cell_angle_beta 90.00
_cell_angle_gamma 120.00
loop_
_atom_site_label
_atom_site_fract_x
_atom_site_fract_y
_atom_site_fract_z
Ac1 0.0000 0.0000 0.0000
Pr1 0.0000 0.0000 0.5699
Pr2 0.0000 0.0000 0.7640
Ag1 0.0000 0.0000 0.1670
```

---

Most stable structure, least stable structure: run w, run y.

---

Run w
AcPr2Ag6 | PBE | optimized geometry

Output
N(E_F): 0.794 states/eV per atom

```
data_AcPr2Ag6
_chemical_formula_sum 'Ac1 Pr2 Ag6'
_symmetry_space_group_name_H-M 'P 6/m m m'
_symmetry_Int_Tables_number 191
_symmetry_space_group_name_Hall '-P 6 2'
_cell_length_a 8.4132
_cell_length_b 8.4132
_cell_length_c 3.7120
_cell_angle_alpha 90.00
_cell_angle_beta 90.00
_cell_angle_gamma 120.00
loop_
_atom_site_label
_atom_site_fract_x
_atom_site_fract_y
_atom_site_fract_z
Ac1 0.0000 0.0000 0.0000
Pr1 0.3333 0.6667 0.0000
Ag1 0.0000 0.3358 0.5000
```

---

Run x
AcPr2Ag6 | PBE | optimized geometry

Output
N(E_F): 0.757 states/eV per atom

```
data_AcPr2Ag6
_chemical_formula_sum 'Ac2 Pr4 Ag12'
_symmetry_space_group_name_H-M 'I m m m'
_symmetry_Int_Tables_number 71
_symmetry_space_group_name_Hall '-I 2 2'
_cell_length_a 3.862
_cell_length_b 8.094
_cell_length_c 14.945
_cell_angle_alpha 90.00
_cell_angle_beta 90.00
_cell_angle_gamma 90.00
loop_
_atom_site_label
_atom_site_fract_x
_atom_site_fract_y
_atom_site_fract_z
Ac1 0.000 0.000 0.000
Pr1 0.000 0.500 0.140
Ag1 0.000 0.177 0.500
Ag2 0.000 0.317 0.324
```

---

Most stable structure, least stable structure: run w, run x.

---

Run w
Ac2Pr3Ag2 | PBE | optimized geometry

Output
N(E_F): 1.325 states/eV per atom

```
data_Ac2Pr3Ag2
_chemical_formula_sum 'Ac4 Pr6 Ag4'
_symmetry_space_group_name_H-M 'C m m m'
_symmetry_Int_Tables_number 65
_symmetry_space_group_name_Hall '-C 2 2'
_cell_length_a 3.852
_cell_length_b 32.174
_cell_length_c 3.825
_cell_angle_alpha 90.00
_cell_angle_beta 90.00
_cell_angle_gamma 90.00
loop_
_atom_site_label
_atom_site_fract_x
_atom_site_fract_y
_atom_site_fract_z
Ac1 0.000 0.198 0.000
Pr1 0.000 0.079 0.000
Pr2 0.000 0.500 0.500
Ag1 0.000 0.366 0.500
```

---

Run x
Ac2Pr3Ag2 | PBE | optimized geometry

Output
N(E_F): 1.342 states/eV per atom

```
data_Ac2Pr3Ag2
_chemical_formula_sum 'Ac4 Pr6 Ag4'
_symmetry_space_group_name_H-M 'C 1 2/m 1'
_symmetry_Int_Tables_number 12
_symmetry_space_group_name_Hall '-C 2y'
_cell_length_a 13.227
_cell_length_b 4.022
_cell_length_c 9.926
_cell_angle_alpha 90.00
_cell_angle_beta 115.52
_cell_angle_gamma 90.00
loop_
_atom_site_label
_atom_site_fract_x
_atom_site_fract_y
_atom_site_fract_z
Ac1 0.150 0.000 0.309
Pr1 0.000 0.500 0.500
Pr2 0.117 0.500 0.950
Ag1 0.161 0.000 0.731
```

---

Most stable structure, least stable structure: run x, run w.

---

Run w
Ac2PrAg6 | PBE | optimized geometry

Output
N(E_F): 0.709 states/eV per atom

```
data_Ac2PrAg6
_chemical_formula_sum 'Ac2 Pr1 Ag6'
_symmetry_space_group_name_H-M 'P 6/m m m'
_symmetry_Int_Tables_number 191
_symmetry_space_group_name_Hall '-P 6 2'
_cell_length_a 8.3846
_cell_length_b 8.3846
_cell_length_c 3.9158
_cell_angle_alpha 90.00
_cell_angle_beta 90.00
_cell_angle_gamma 120.00
loop_
_atom_site_label
_atom_site_fract_x
_atom_site_fract_y
_atom_site_fract_z
Ac1 0.3333 0.6667 0.0000
Pr1 0.0000 0.0000 0.0000
Ag1 0.0000 0.3310 0.5000
```

---

Run x
Ac2PrAg6 | PBE | optimized geometry

Output
N(E_F): 0.650 states/eV per atom

```
data_Ac2PrAg6
_chemical_formula_sum 'Ac4 Pr2 Ag12'
_symmetry_space_group_name_H-M 'I m m m'
_symmetry_Int_Tables_number 71
_symmetry_space_group_name_Hall '-I 2 2'
_cell_length_a 3.863
_cell_length_b 8.211
_cell_length_c 15.363
_cell_angle_alpha 90.00
_cell_angle_beta 90.00
_cell_angle_gamma 90.00
loop_
_atom_site_label
_atom_site_fract_x
_atom_site_fract_y
_atom_site_fract_z
Ac1 0.000 0.000 0.144
Pr1 0.000 0.500 0.000
Ag1 0.000 0.173 0.332
Ag2 0.000 0.317 0.500
```

---

Most stable structure, least stable structure: run w, run x.

---

Run w
AcPrSmAg | PBE | optimized geometry

Output
N(E_F): 1.575 states/eV per atom

```
data_AcPrSmAg
_chemical_formula_sum 'Ac4 Pr4 Sm4 Ag4'
_symmetry_space_group_name_H-M 'F -4 3 m'
_symmetry_Int_Tables_number 216
_symmetry_space_group_name_Hall 'F -4 2 3'
_cell_length_a 8.021
_cell_length_b 8.021
_cell_length_c 8.021
_cell_angle_alpha 90.00
_cell_angle_beta 90.00
_cell_angle_gamma 90.00
loop_
_atom_site_label
_atom_site_fract_x
_atom_site_fract_y
_atom_site_fract_z
Ac1 0.000 0.000 0.000
Pr1 0.250 0.250 0.250
Sm1 0.250 0.250 0.750
Ag1 0.000 0.000 0.500
```

---

Run x
AcPrSmAg | PBE | optimized geometry

Output
N(E_F): 1.413 states/eV per atom

```
data_AcPrSmAg
_chemical_formula_sum 'Ac1 Pr1 Sm1 Ag1'
_symmetry_space_group_name_H-M 'P 4 m m'
_symmetry_Int_Tables_number 99
_symmetry_space_group_name_Hall 'P 4 -2'
_cell_length_a 3.813
_cell_length_b 3.813
_cell_length_c 8.958
_cell_angle_alpha 90.00
_cell_angle_beta 90.00
_cell_angle_gamma 90.00
loop_
_atom_site_label
_atom_site_fract_x
_atom_site_fract_y
_atom_site_fract_z
Ac1 0.000 0.000 0.000
Pr1 0.500 0.500 0.700
Sm1 0.500 0.500 0.293
Ag1 0.000 0.000 0.487
```

---

Most stable structure, least stable structure: run x, run w.

---

Run w
AcPrTlAg | PBE | optimized geometry

Output
N(E_F): 1.052 states/eV per atom

```
data_AcPrTlAg
_chemical_formula_sum 'Ac4 Pr4 Tl4 Ag4'
_symmetry_space_group_name_H-M 'F -4 3 m'
_symmetry_Int_Tables_number 216
_symmetry_space_group_name_Hall 'F -4 2 3'
_cell_length_a 7.933
_cell_length_b 7.933
_cell_length_c 7.933
_cell_angle_alpha 90.00
_cell_angle_beta 90.00
_cell_angle_gamma 90.00
loop_
_atom_site_label
_atom_site_fract_x
_atom_site_fract_y
_atom_site_fract_z
Ac1 0.000 0.000 0.000
Pr1 0.000 0.000 0.500
Tl1 0.250 0.250 0.750
Ag1 0.250 0.250 0.250
```

---

Run x
AcPrTlAg | PBE | optimized geometry

Output
N(E_F): 1.182 states/eV per atom

```
data_AcPrTlAg
_chemical_formula_sum 'Ac1 Pr1 Tl1 Ag1'
_symmetry_space_group_name_H-M 'P 4 m m'
_symmetry_Int_Tables_number 99
_symmetry_space_group_name_Hall 'P 4 -2'
_cell_length_a 3.889
_cell_length_b 3.889
_cell_length_c 8.176
_cell_angle_alpha 90.00
_cell_angle_beta 90.00
_cell_angle_gamma 90.00
loop_
_atom_site_label
_atom_site_fract_x
_atom_site_fract_y
_atom_site_fract_z
Ac1 0.000 0.000 0.000
Pr1 0.000 0.000 0.525
Tl1 0.500 0.500 0.279
Ag1 0.500 0.500 0.743
```

---

Most stable structure, least stable structure: run x, run w.

---

Run w
AcPrZnAg | PBE | optimized geometry

Output
N(E_F): 0.888 states/eV per atom

```
data_AcPrZnAg
_chemical_formula_sum 'Ac1 Pr1 Zn1 Ag1'
_symmetry_space_group_name_H-M 'P 4 m m'
_symmetry_Int_Tables_number 99
_symmetry_space_group_name_Hall 'P 4 -2'
_cell_length_a 3.867
_cell_length_b 3.867
_cell_length_c 7.579
_cell_angle_alpha 90.00
_cell_angle_beta 90.00
_cell_angle_gamma 90.00
loop_
_atom_site_label
_atom_site_fract_x
_atom_site_fract_y
_atom_site_fract_z
Ac1 0.000 0.000 0.000
Pr1 0.000 0.000 0.488
Zn1 0.500 0.500 0.265
Ag1 0.500 0.500 0.726
```

---

Run x
AcPrZnAg | PBE | optimized geometry

Output
N(E_F): 0.930 states/eV per atom

```
data_AcPrZnAg
_chemical_formula_sum 'Ac4 Pr4 Zn4 Ag4'
_symmetry_space_group_name_H-M 'F -4 3 m'
_symmetry_Int_Tables_number 216
_symmetry_space_group_name_Hall 'F -4 2 3'
_cell_length_a 7.707
_cell_length_b 7.707
_cell_length_c 7.707
_cell_angle_alpha 90.00
_cell_angle_beta 90.00
_cell_angle_gamma 90.00
loop_
_atom_site_label
_atom_site_fract_x
_atom_site_fract_y
_atom_site_fract_z
Ac1 0.000 0.000 0.000
Pr1 0.000 0.000 0.500
Zn1 0.250 0.250 0.750
Ag1 0.250 0.250 0.250
```

---

Most stable structure, least stable structure: run w, run x.

---

Run w
AcAgPt | PBE | optimized geometry

Output
N(E_F): 0.411 states/eV per atom

```
data_AcAgPt
_chemical_formula_sum 'Ac6 Ag6 Pt6'
_symmetry_space_group_name_H-M 'P 1 21/m 1'
_symmetry_Int_Tables_number 11
_symmetry_space_group_name_Hall '-P 2yb'
_cell_length_a 7.713
_cell_length_b 4.292
_cell_length_c 13.426
_cell_angle_alpha 90.00
_cell_angle_beta 90.46
_cell_angle_gamma 90.00
loop_
_atom_site_label
_atom_site_fract_x
_atom_site_fract_y
_atom_site_fract_z
Ac1 0.056 0.250 0.377
Ac2 0.166 0.250 0.083
Ac3 0.438 0.750 0.714
Ag1 0.121 0.250 0.799
Ag2 0.382 0.750 0.461
Ag3 0.491 0.250 0.919
Pt1 0.238 0.250 0.585
Pt2 0.243 0.750 0.924
Pt3 0.262 0.750 0.250
```

---

Run x
AcAgPt | PBE | optimized geometry

Output
N(E_F): 0.325 states/eV per atom

```
data_AcAgPt
_chemical_formula_sum 'Ac2 Ag2 Pt2'
_symmetry_space_group_name_H-M 'I 4 m m'
_symmetry_Int_Tables_number 107
_symmetry_space_group_name_Hall 'I 4 -2'
_cell_length_a 3.849
_cell_length_b 3.849
_cell_length_c 14.008
_cell_angle_alpha 90.00
_cell_angle_beta 90.00
_cell_angle_gamma 90.00
loop_
_atom_site_label
_atom_site_fract_x
_atom_site_fract_y
_atom_site_fract_z
Ac1 0.000 0.000 0.000
Ag1 0.000 0.000 0.628
Pt1 0.000 0.000 0.819
```

---

Most stable structure, least stable structure: run w, run x.

---

Run w
SrAcAgPt | PBE | optimized geometry

Output
N(E_F): 0.922 states/eV per atom

```
data_SrAcAgPt
_chemical_formula_sum 'Sr4 Ac4 Ag4 Pt4'
_symmetry_space_group_name_H-M 'F -4 3 m'
_symmetry_Int_Tables_number 216
_symmetry_space_group_name_Hall 'F -4 2 3'
_cell_length_a 7.634
_cell_length_b 7.634
_cell_length_c 7.634
_cell_angle_alpha 90.00
_cell_angle_beta 90.00
_cell_angle_gamma 90.00
loop_
_atom_site_label
_atom_site_fract_x
_atom_site_fract_y
_atom_site_fract_z
Sr1 0.000 0.000 0.000
Ac1 0.000 0.000 0.500
Ag1 0.250 0.250 0.750
Pt1 0.250 0.250 0.250
```

---

Run x
SrAcAgPt | PBE | optimized geometry

Output
N(E_F): 0.602 states/eV per atom

```
data_SrAcAgPt
_chemical_formula_sum 'Sr2 Ac2 Ag2 Pt2'
_symmetry_space_group_name_H-M 'A m m 2'
_symmetry_Int_Tables_number 38
_symmetry_space_group_name_Hall 'A 2 -2'
_cell_length_a 4.530
_cell_length_b 4.292
_cell_length_c 12.126
_cell_angle_alpha 90.00
_cell_angle_beta 90.00
_cell_angle_gamma 90.00
loop_
_atom_site_label
_atom_site_fract_x
_atom_site_fract_y
_atom_site_fract_z
Sr1 0.000 0.000 0.000
Ac1 0.500 0.000 0.724
Ag1 0.500 0.000 0.432
Pt1 0.000 0.000 0.268
```

---

Most stable structure, least stable structure: run x, run w.

---

Run w
Ac4Ag2Rh | PBE | optimized geometry

Output
N(E_F): 1.279 states/eV per atom

```
data_Ac4Ag2Rh
_chemical_formula_sum 'Ac8 Ag4 Rh2'
_symmetry_space_group_name_H-M 'I 4/m m m'
_symmetry_Int_Tables_number 139
_symmetry_space_group_name_Hall '-I 4 2'
_cell_length_a 5.743
_cell_length_b 5.743
_cell_length_c 15.714
_cell_angle_alpha 90.00
_cell_angle_beta 90.00
_cell_angle_gamma 90.00
loop_
_atom_site_label
_atom_site_fract_x
_atom_site_fract_y
_atom_site_fract_z
Ac1 0.000 0.000 0.190
Ac2 0.000 0.500 0.000
Ag1 0.000 0.000 0.390
Rh1 0.000 0.000 0.000
```

---

Run x
Ac4Ag2Rh | PBE | optimized geometry

Output
N(E_F): 0.693 states/eV per atom

```
data_Ac4Ag2Rh
_chemical_formula_sum 'Ac8 Ag4 Rh2'
_symmetry_space_group_name_H-M 'C 1 2/m 1'
_symmetry_Int_Tables_number 12
_symmetry_space_group_name_Hall '-C 2y'
_cell_length_a 15.991
_cell_length_b 4.515
_cell_length_c 6.817
_cell_angle_alpha 90.00
_cell_angle_beta 101.07
_cell_angle_gamma 90.00
loop_
_atom_site_label
_atom_site_fract_x
_atom_site_fract_y
_atom_site_fract_z
Ac1 0.076 0.000 0.271
Ac2 0.155 0.500 0.826
Ag1 0.233 0.500 0.363
Rh1 0.000 0.500 0.000
```

---

Most stable structure, least stable structure: run x, run w.

---

Run w
AcAg2Rh | PBE | optimized geometry

Output
N(E_F): 0.667 states/eV per atom

```
data_AcAg2Rh
_chemical_formula_sum 'Ac3 Ag6 Rh3'
_symmetry_space_group_name_H-M 'R -3 m'
_symmetry_Int_Tables_number 166
_symmetry_space_group_name_Hall '-R 3 2"'
_cell_length_a 5.1011
_cell_length_b 5.1011
_cell_length_c 12.1303
_cell_angle_alpha 90.00
_cell_angle_beta 90.00
_cell_angle_gamma 120.00
loop_
_atom_site_label
_atom_site_fract_x
_atom_site_fract_y
_atom_site_fract_z
Ac1 0.0000 0.0000 0.0000
Ag1 0.0000 0.0000 0.2561
Rh1 0.0000 0.0000 0.5000
```

---

Run x
AcAg2Rh | PBE | optimized geometry

Output
N(E_F): 0.523 states/eV per atom

```
data_AcAg2Rh
_chemical_formula_sum 'Ac4 Ag8 Rh4'
_symmetry_space_group_name_H-M 'C m c m'
_symmetry_Int_Tables_number 63
_symmetry_space_group_name_Hall '-C 2c 2'
_cell_length_a 4.446
_cell_length_b 10.063
_cell_length_c 8.142
_cell_angle_alpha 90.00
_cell_angle_beta 90.00
_cell_angle_gamma 90.00
loop_
_atom_site_label
_atom_site_fract_x
_atom_site_fract_y
_atom_site_fract_z
Ac1 0.000 0.065 0.250
Ag1 0.000 0.355 0.055
Rh1 0.000 0.224 0.750
```

---

Most stable structure, least stable structure: run x, run w.